1 | VASP calculation (GGA-PBE) on Pm5Tm4Sc2 after structural relaxation.

a = 8.771 Å, b = 3.521 Å, c = 11.205 Å
α = 90.00°, β = 94.07°, γ = 90.00°
Space group P2/m (No. 10)
Symmetry-distinct sites (fractional):
Pm 0.000 0.000 0.000 (multiplicity 1)
Pm 0.063 0.000 0.312 (multiplicity 2)
Pm 0.325 0.000 0.845 (multiplicity 2)
Tm 0.243 0.500 0.561 (multiplicity 2)
Tm 0.325 0.500 0.127 (multiplicity 2)
Sc 0.437 0.000 0.369 (multiplicity 2)



2 | VASP calculation (GGA-PBE) on Pm5Tm4Sc2 after structural relaxation.

a = 3.468 Å, b = 7.632 Å, c = 27.418 Å
α = 90.00°, β = 90.00°, γ = 90.00°
Space group Immm (No. 71)
Symmetry-distinct sites (fractional):
Pm 0.000 0.000 0.000 (multiplicity 2)
Pm 0.000 0.242 0.306 (multiplicity 8)
Tm 0.000 0.183 0.500 (multiplicity 4)
Tm 0.000 0.500 0.098 (multiplicity 4)
Sc 0.000 0.500 0.402 (multiplicity 4)



Which of them is the most stable? Correct choice: 1.